# PBE-GGA SbAsSe2, optimized geometry
# - DOS(E_F): 0.2284 states/eV per atom
# - Formation energy from raw total energies: -0.0379 eV/atom
data_SbAsSe2
_chemical_formula_sum 'Sb1 As1 Se2'
_space_group_name_H-M_alt 'P 1 m 1'
_space_group_IT_number 6
_cell_length_a 4.7470
_cell_length_b 4.1418
_cell_length_c 5.9281
_cell_angle_alpha 90.00
_cell_angle_beta 104.61
_cell_angle_gamma 90.00
loop_
_space_group_symop_operation_xyz
'x,y,z'
'x,-y,z'
loop_
_atom_site_label
_atom_site_fract_x
_atom_site_fract_y
_atom_site_fract_z
_atom_site_occupancy
Sb1 0.0000 0.0000 0.0000 1
As1 0.4362 0.5000 0.2111 1
Se1 0.5401 0.5000 0.8404 1
Se2 0.8449 0.0000 0.3853 1

=====

# PBE-GGA Sb2AsSe, optimized geometry
# - DOS(E_F): 0.6211 states/eV per atom
# - Formation energy from raw total energies: -0.0015 eV/atom
data_Sb2AsSe
_chemical_formula_sum 'Sb2 As1 Se1'
_space_group_name_H-M_alt 'P 4 m m'
_space_group_IT_number 99
_cell_length_a 4.1629
_cell_length_b 4.1629
_cell_length_c 6.1113
_cell_angle_alpha 90.00
_cell_angle_beta 90.00
_cell_angle_gamma 90.00
loop_
_space_group_symop_operation_xyz
'x,y,z'
'-y,x,z'
'-x,-y,z'
'y,-x,z'
'-x,y,z'
'y,x,z'
'x,-y,z'
'-y,-x,z'
loop_
_atom_site_label
_atom_site_fract_x
_atom_site_fract_y
_atom_site_fract_z
_atom_site_occupancy
Sb1 0.0000 0.0000 0.0000 1
Sb2 0.5000 0.5000 0.4797 1
As1 0.0000 0.0000 0.4479 1
Se1 0.5000 0.5000 0.9897 1

=====

# PBE-GGA SbAsSe2, optimized geometry
# - DOS(E_F): 0.2147 states/eV per atom
# - Formation energy from raw total energies: 0.1211 eV/atom
data_SbAsSe2
_chemical_formula_sum 'Sb2 As2 Se4'
_space_group_name_H-M_alt 'I m m m'
_space_group_IT_number 71
_space_group_name_Hall '-I 2 2'
_cell_length_a 4.1005
_cell_length_b 4.5212
_cell_length_c 12.2812
_cell_angle_alpha 90.00
_cell_angle_beta 90.00
_cell_angle_gamma 90.00
loop_
_atom_site_label
_atom_site_fract_x
_atom_site_fract_y
_atom_site_fract_z
_atom_site_occupancy
Sb1 0.0000 0.0000 0.0000 1
As1 0.0000 0.0000 0.5000 1
Se1 0.0000 0.5000 0.1530 1

=====

# PBE-GGA SbAsSe, optimized geometry
# - DOS(E_F): 0.4582 states/eV per atom
# - Formation energy from raw total energies: 0.0050 eV/atom
data_SbAsSe
_chemical_formula_sum 'Sb6 As6 Se6'
_space_group_name_H-M_alt 'R -3 m'
_space_group_IT_number 166
_space_group_name_Hall '-R 3 2"'
_cell_length_a 4.2257
_cell_length_b 4.2257
_cell_length_c 32.7380
_cell_angle_alpha 90.00
_cell_angle_beta 90.00
_cell_angle_gamma 120.00
loop_
_atom_site_label
_atom_site_fract_x
_atom_site_fract_y
_atom_site_fract_z
_atom_site_occupancy
Sb1 0.0000 0.0000 0.0734 1
As1 0.0000 0.0000 0.3486 1
Se1 0.0000 0.0000 0.2183 1

=====

# PBE-GGA SbAsSe2, optimized geometry
# - DOS(E_F): 0.2376 states/eV per atom
# - Formation energy from raw total energies: 0.2631 eV/atom
data_SbAsSe2
_chemical_formula_sum 'Sb1 As1 Se2'
_space_group_name_H-M_alt 'P 4/m m m'
_space_group_IT_number 123
_space_group_name_Hall '-P 4 2'
_cell_length_a 3.5121
_cell_length_b 3.5121
_cell_length_c 7.0379
_cell_angle_alpha 90.00
_cell_angle_beta 90.00
_cell_angle_gamma 90.00
loop_
_atom_site_label
_atom_site_fract_x
_atom_site_fract_y
_atom_site_fract_z
_atom_site_occupancy
Sb1 0.0000 0.0000 0.0000 1
As1 0.0000 0.0000 0.5000 1
Se1 0.5000 0.5000 0.2639 1

=====

# PBE-GGA Sb2As2Se, optimized geometry
# - DOS(E_F): 0.8429 states/eV per atom
# - Formation energy from raw total energies: 0.2463 eV/atom
data_Sb2As2Se
_chemical_formula_sum 'Sb4 As4 Se2'
_space_group_name_H-M_alt 'P 4/m b m'
_space_group_IT_number 127
_space_group_name_Hall '-P 4 2ab'
_cell_length_a 7.9777
_cell_length_b 7.9777
_cell_length_c 3.8026
_cell_angle_alpha 90.00
_cell_angle_beta 90.00
_cell_angle_gamma 90.00
loop_
_atom_site_label
_atom_site_fract_x
_atom_site_fract_y
_atom_site_fract_z
_atom_site_occupancy
Sb1 0.1823 0.3177 0.0000 1
As1 0.1365 0.6365 0.5000 1
Se1 0.0000 0.0000 0.0000 1

=====

# PBE-GGA Sb3As5Se12, optimized geometry
# - DOS(E_F): 0.2955 states/eV per atom
# - Formation energy from raw total energies: 0.0321 eV/atom
data_Sb3As5Se12
_chemical_formula_sum 'Sb24 As40 Se96'
_space_group_name_H-M_alt 'I a -3 d'
_space_group_IT_number 230
_space_group_name_Hall '-I 4bd 2c 3'
_cell_length_a 16.4052
_cell_length_b 16.4052
_cell_length_c 16.4052
_cell_angle_alpha 90.00
_cell_angle_beta 90.00
_cell_angle_gamma 90.00
loop_
_atom_site_label
_atom_site_fract_x
_atom_site_fract_y
_atom_site_fract_z
_atom_site_occupancy
Sb1 0.0000 0.2500 0.1250 1
As1 0.0000 0.0000 0.0000 1
As2 0.0000 0.2500 0.3750 1
Se1 0.0220 0.0636 0.6516 1

=====

# PBE-GGA Sb4As2Se3, optimized geometry
# - DOS(E_F): 0.1625 states/eV per atom
# - Formation energy from raw total energies: -0.1015 eV/atom
data_Sb4As2Se3
_chemical_formula_sum 'Sb8 As4 Se6'
_space_group_name_H-M_alt 'C 1 2/m 1'
_space_group_IT_number 12
_cell_length_a 14.6660
_cell_length_b 4.0405
_cell_length_c 11.3342
_cell_angle_alpha 90.00
_cell_angle_beta 126.26
_cell_angle_gamma 90.00
loop_
_space_group_symop_operation_xyz
'x,y,z'
'-x,-y,-z'
'-x,y,-z'
'x,-y,z'
'x+1/2,y+1/2,z'
'-x+1/2,-y+1/2,-z'
'-x+1/2,y+1/2,-z'
'x+1/2,-y+1/2,z'
loop_
_atom_site_label
_atom_site_fract_x
_atom_site_fract_y
_atom_site_fract_z
_atom_site_occupancy
Sb1 0.1018 0.0000 0.4064 1
Sb2 0.2083 0.5000 0.8143 1
As1 0.1153 0.0000 0.8717 1
Se1 0.0000 0.5000 0.5000 1
Se2 0.1690 0.5000 0.3056 1

=====

# PBE-GGA Sb4As3Se, optimized geometry
# - DOS(E_F): 0.2861 states/eV per atom
# - Formation energy from raw total energies: -0.0076 eV/atom
data_Sb4As3Se
_chemical_formula_sum 'Sb4 As3 Se1'
_space_group_name_H-M_alt 'P 1 m 1'
_space_group_IT_number 6
_cell_length_a 7.3817
_cell_length_b 4.0369
_cell_length_c 7.4615
_cell_angle_alpha 90.00
_cell_angle_beta 107.24
_cell_angle_gamma 90.00
loop_
_space_group_symop_operation_xyz
'x,y,z'
'x,-y,z'
loop_
_atom_site_label
_atom_site_fract_x
_atom_site_fract_y
_atom_site_fract_z
_atom_site_occupancy
Sb1 0.0000 0.0000 0.0000 1
Sb2 0.0168 0.5000 0.4974 1
Sb3 0.5054 0.0000 0.4920 1
Sb4 0.5335 0.5000 0.0139 1
As1 0.2766 0.5000 0.2961 1
As2 0.7754 0.0000 0.2900 1
As3 0.7776 0.5000 0.7978 1
Se1 0.2777 0.0000 0.8001 1

=====

# PBE-GGA Sb2AsSe, optimized geometry
# - DOS(E_F): 0.3025 states/eV per atom
# - Formation energy from raw total energies: 0.2816 eV/atom
data_Sb2AsSe
_chemical_formula_sum 'Sb8 As4 Se4'
_space_group_name_H-M_alt 'F -4 3 m'
_space_group_IT_number 216
_space_group_name_Hall 'F -4 2 3'
_cell_length_a 7.2102
_cell_length_b 7.2102
_cell_length_c 7.2102
_cell_angle_alpha 90.00
_cell_angle_beta 90.00
_cell_angle_gamma 90.00
loop_
_atom_site_label
_atom_site_fract_x
_atom_site_fract_y
_atom_site_fract_z
_atom_site_occupancy
Sb1 0.0000 0.0000 0.0000 1
Sb2 0.2500 0.2500 0.2500 1
As1 0.0000 0.0000 0.5000 1
Se1 0.2500 0.2500 0.7500 1

=====

# PBE-GGA Sb2As2Se, optimized geometry
# - DOS(E_F): 0.5336 states/eV per atom
# - Formation energy from raw total energies: 0.2686 eV/atom
data_Sb2As2Se
_chemical_formula_sum 'Sb4 As4 Se2'
_space_group_name_H-M_alt 'P 4/m b m'
_space_group_IT_number 127
_space_group_name_Hall '-P 4 2ab'
_cell_length_a 7.8214
_cell_length_b 7.8214
_cell_length_c 3.9327
_cell_angle_alpha 90.00
_cell_angle_beta 90.00
_cell_angle_gamma 90.00
loop_
_atom_site_label
_atom_site_fract_x
_atom_site_fract_y
_atom_site_fract_z
_atom_site_occupancy
Sb1 0.1540 0.3460 0.0000 1
As1 0.1695 0.6695 0.5000 1
Se1 0.0000 0.0000 0.5000 1

=====

# PBE-GGA SbAsSe2, optimized geometry
# - DOS(E_F): 0.5346 states/eV per atom
# - Formation energy from raw total energies: 0.0549 eV/atom
data_SbAsSe2
_chemical_formula_sum 'Sb2 As2 Se4'
_space_group_name_H-M_alt 'I 4/m m m'
_space_group_IT_number 139
_space_group_name_Hall '-I 4 2'
_cell_length_a 5.7525
_cell_length_b 5.7525
_cell_length_c 5.8814
_cell_angle_alpha 90.00
_cell_angle_beta 90.00
_cell_angle_gamma 90.00
loop_
_atom_site_label
_atom_site_fract_x
_atom_site_fract_y
_atom_site_fract_z
_atom_site_occupancy
Sb1 0.0000 0.0000 0.0000 1
As1 0.0000 0.0000 0.5000 1
Se1 0.0000 0.5000 0.0000 1

=====

# PBE-GGA Sb2As2Se, optimized geometry
# - DOS(E_F): 0.5054 states/eV per atom
# - Formation energy from raw total energies: 0.2038 eV/atom
data_Sb2As2Se
_chemical_formula_sum 'Sb4 As4 Se2'
_space_group_name_H-M_alt 'I 4/m m m'
_space_group_IT_number 139
_space_group_name_Hall '-I 4 2'
_cell_length_a 3.9522
_cell_length_b 3.9522
_cell_length_c 15.6169
_cell_angle_alpha 90.00
_cell_angle_beta 90.00
_cell_angle_gamma 90.00
loop_
_atom_site_label
_atom_site_fract_x
_atom_site_fract_y
_atom_site_fract_z
_atom_site_occupancy
Sb1 0.0000 0.0000 0.0995 1
As1 0.0000 0.5000 0.2500 1
Se1 0.0000 0.0000 0.5000 1

=====

# PBE-GGA Sb3AsSe3, optimized geometry
# - DOS(E_F): 0.3865 states/eV per atom
# - Formation energy from raw total energies: -0.0107 eV/atom
data_Sb3AsSe3
_chemical_formula_sum 'Sb12 As4 Se12'
_space_group_name_H-M_alt 'C m c m'
_space_group_IT_number 63
_space_group_name_Hall '-C 2c 2'
_cell_length_a 11.5165
_cell_length_b 11.6777
_cell_length_c 5.8542
_cell_angle_alpha 90.00
_cell_angle_beta 90.00
_cell_angle_gamma 90.00
loop_
_atom_site_label
_atom_site_fract_x
_atom_site_fract_y
_atom_site_fract_z
_atom_site_occupancy
Sb1 0.0000 0.1590 0.2500 1
Sb2 0.2423 0.3768 0.2500 1
As1 0.0000 0.3937 0.2500 1
Se1 0.0000 0.1258 0.7500 1
Se2 0.2474 0.3637 0.7500 1

=====

# PBE-GGA SbAsSe2, optimized geometry
# - DOS(E_F): 0.2368 states/eV per atom
# - Formation energy from raw total energies: 0.1074 eV/atom
data_SbAsSe2
_chemical_formula_sum 'Sb1 As1 Se2'
_space_group_name_H-M_alt 'P 4 m m'
_space_group_IT_number 99
_cell_length_a 3.5359
_cell_length_b 3.5359
_cell_length_c 8.8744
_cell_angle_alpha 90.00
_cell_angle_beta 90.00
_cell_angle_gamma 90.00
loop_
_space_group_symop_operation_xyz
'x,y,z'
'-y,x,z'
'-x,-y,z'
'y,-x,z'
'-x,y,z'
'y,x,z'
'x,-y,z'
'-y,-x,z'
loop_
_atom_site_label
_atom_site_fract_x
_atom_site_fract_y
_atom_site_fract_z
_atom_site_occupancy
Sb1 0.0000 0.0000 0.0000 1
As1 0.5000 0.5000 0.6721 1
Se1 0.0000 0.0000 0.5631 1
Se2 0.5000 0.5000 0.1494 1

=====

# PBE-GGA Sb2AsSe, optimized geometry
# - DOS(E_F): 0.4106 states/eV per atom
# - Formation energy from raw total energies: 0.0263 eV/atom
data_Sb2AsSe
_chemical_formula_sum 'Sb6 As3 Se3'
_space_group_name_H-M_alt 'R 3 m'
_space_group_IT_number 160
_space_group_name_Hall 'R 3 -2"'
_cell_length_a 3.9438
_cell_length_b 3.9438
_cell_length_c 23.7665
_cell_angle_alpha 90.00
_cell_angle_beta 90.00
_cell_angle_gamma 120.00
loop_
_atom_site_label
_atom_site_fract_x
_atom_site_fract_y
_atom_site_fract_z
_atom_site_occupancy
Sb1 0.0000 0.0000 0.0000 1
Sb2 0.0000 0.0000 0.1799 1
As1 0.0000 0.0000 0.5978 1
Se1 0.0000 0.0000 0.7742 1

=====

# PBE-GGA SbAs3Se, optimized geometry
# - DOS(E_F): 0.8230 states/eV per atom
# - Formation energy from raw total energies: 0.7565 eV/atom
data_SbAs3Se
_chemical_formula_sum 'Sb1 As3 Se1'
_space_group_name_H-M_alt 'P m -3 m'
_space_group_IT_number 221
_space_group_name_Hall '-P 4 2 3'
_cell_length_a 5.0256
_cell_length_b 5.0256
_cell_length_c 5.0256
_cell_angle_alpha 90.00
_cell_angle_beta 90.00
_cell_angle_gamma 90.00
loop_
_atom_site_label
_atom_site_fract_x
_atom_site_fract_y
_atom_site_fract_z
_atom_site_occupancy
Sb1 0.0000 0.0000 0.0000 1
As1 0.0000 0.5000 0.5000 1
Se1 0.5000 0.5000 0.5000 1

=====

# PBE-GGA SbAsSe2, optimized geometry
# - DOS(E_F): 0.5339 states/eV per atom
# - Formation energy from raw total energies: 0.2652 eV/atom
data_SbAsSe2
_chemical_formula_sum 'Sb4 As4 Se8'
_space_group_name_H-M_alt 'F m -3 m'
_space_group_IT_number 225
_space_group_name_Hall '-F 4 2 3'
_cell_length_a 7.0276
_cell_length_b 7.0276
_cell_length_c 7.0276
_cell_angle_alpha 90.00
_cell_angle_beta 90.00
_cell_angle_gamma 90.00
loop_
_atom_site_label
_atom_site_fract_x
_atom_site_fract_y
_atom_site_fract_z
_atom_site_occupancy
Sb1 0.0000 0.0000 0.0000 1
As1 0.0000 0.0000 0.5000 1
Se1 0.2500 0.2500 0.2500 1

=====

# PBE-GGA Sb2AsSe, optimized geometry
# - DOS(E_F): 0.4593 states/eV per atom
# - Formation energy from raw total energies: 0.2101 eV/atom
data_Sb2AsSe
_chemical_formula_sum 'Sb8 As4 Se4'
_space_group_name_H-M_alt 'F m -3 m'
_space_group_IT_number 225
_space_group_name_Hall '-F 4 2 3'
_cell_length_a 7.1843
_cell_length_b 7.1843
_cell_length_c 7.1843
_cell_angle_alpha 90.00
_cell_angle_beta 90.00
_cell_angle_gamma 90.00
loop_
_atom_site_label
_atom_site_fract_x
_atom_site_fract_y
_atom_site_fract_z
_atom_site_occupancy
Sb1 0.2500 0.2500 0.2500 1
As1 0.0000 0.0000 0.0000 1
Se1 0.0000 0.0000 0.5000 1

=====

# PBE-GGA Sb2AsSe, optimized geometry
# - DOS(E_F): 0.5356 states/eV per atom
# - Formation energy from raw total energies: 0.0402 eV/atom
data_Sb2AsSe
_chemical_formula_sum 'Sb6 As3 Se3'
_space_group_name_H-M_alt 'R 3 m'
_space_group_IT_number 160
_space_group_name_Hall 'R 3 -2"'
_cell_length_a 4.0634
_cell_length_b 4.0634
_cell_length_c 22.0358
_cell_angle_alpha 90.00
_cell_angle_beta 90.00
_cell_angle_gamma 120.00
loop_
_atom_site_label
_atom_site_fract_x
_atom_site_fract_y
_atom_site_fract_z
_atom_site_occupancy
Sb1 0.0000 0.0000 0.0000 1
Sb2 0.0000 0.0000 0.2343 1
As1 0.0000 0.0000 0.7365 1
Se1 0.0000 0.0000 0.4909 1

=====

# PBE-GGA Sb2AsSe, optimized geometry
# - DOS(E_F): 0.4579 states/eV per atom
# - Formation energy from raw total energies: 0.1701 eV/atom
data_Sb2AsSe
_chemical_formula_sum 'Sb2 As1 Se1'
_space_group_name_H-M_alt 'P 4 m m'
_space_group_IT_number 99
_cell_length_a 3.5928
_cell_length_b 3.5928
_cell_length_c 8.6106
_cell_angle_alpha 90.00
_cell_angle_beta 90.00
_cell_angle_gamma 90.00
loop_
_space_group_symop_operation_xyz
'x,y,z'
'-y,x,z'
'-x,-y,z'
'y,-x,z'
'-x,y,z'
'y,x,z'
'x,-y,z'
'-y,-x,z'
loop_
_atom_site_label
_atom_site_fract_x
_atom_site_fract_y
_atom_site_fract_z
_atom_site_occupancy
Sb1 0.0000 0.0000 0.0000 1
Sb2 0.5000 0.5000 0.3484 1
As1 0.5000 0.5000 0.8492 1
Se1 0.0000 0.0000 0.4950 1

=====

# PBE-GGA SbAs2Se4, optimized geometry
# - DOS(E_F): 0.4629 states/eV per atom
# - Formation energy from raw total energies: -0.0642 eV/atom
data_SbAs2Se4
_chemical_formula_sum 'Sb4 As8 Se16'
_space_group_name_H-M_alt 'C m c m'
_space_group_IT_number 63
_space_group_name_Hall '-C 2c 2'
_cell_length_a 3.9825
_cell_length_b 12.9024
_cell_length_c 13.4607
_cell_angle_alpha 90.00
_cell_angle_beta 90.00
_cell_angle_gamma 90.00
loop_
_atom_site_label
_atom_site_fract_x
_atom_site_fract_y
_atom_site_fract_z
_atom_site_occupancy
Sb1 0.0000 0.0855 0.2500 1
As1 0.0000 0.3611 0.0495 1
Se1 0.0000 0.0000 0.0000 1
Se2 0.0000 0.2690 0.6165 1
Se3 0.0000 0.4439 0.2500 1

=====

# PBE-GGA Sb3AsSe, optimized geometry
# - DOS(E_F): 1.3644 states/eV per atom
# - Formation energy from raw total energies: 0.7682 eV/atom
data_Sb3AsSe
_chemical_formula_sum 'Sb3 As1 Se1'
_space_group_name_H-M_alt 'P m -3 m'
_space_group_IT_number 221
_space_group_name_Hall '-P 4 2 3'
_cell_length_a 5.3703
_cell_length_b 5.3703
_cell_length_c 5.3703
_cell_angle_alpha 90.00
_cell_angle_beta 90.00
_cell_angle_gamma 90.00
loop_
_atom_site_label
_atom_site_fract_x
_atom_site_fract_y
_atom_site_fract_z
_atom_site_occupancy
Sb1 0.0000 0.0000 0.5000 1
As1 0.0000 0.0000 0.0000 1
Se1 0.5000 0.5000 0.5000 1

=====

| no. | calculated volume (A^3/atom) |
| --- | --- |
| 1 | 28.20 |
| 2 | 26.48 |
| 3 | 28.46 |
| 4 | 28.13 |
| 5 | 21.70 |
| 6 | 24.20 |
| 7 | 27.59 |
| 8 | 30.09 |
| 9 | 26.54 |
| 10 | 23.43 |
| 11 | 24.06 |
| 12 | 24.33 |
| 13 | 24.39 |
| 14 | 28.12 |
| 15 | 27.74 |
| 16 | 26.68 |
| 17 | 25.39 |
| 18 | 21.69 |
| 19 | 23.18 |
| 20 | 26.26 |
| 21 | 27.79 |
| 22 | 24.70 |
| 23 | 30.98 |